{
  "formula": "PrSm4Er2Tm",
  "functional": "PBE",
  "state": "optimized geometry",
  "sg": "C2/c (15)",
  "e_form_ev_per_atom": 0.408,
  "lattice": [[6.836, -6.639, 0.000], [6.836, 6.639, 0.000], [-3.423, 0.000, 5.924]],
  "species": ["Pr", "Pr", "Sm", "Sm", "Sm", "Sm", "Sm", "Sm", "Sm", "Sm", "Er", "Er", "Er", "Er", "Tm", "Tm"],
  "frac_coords": [[0.000, 0.500, 0.000], [0.500, 0.000, 0.500], [0.247, 0.252, 0.495], [0.249, 0.750, 0.000], [0.250, 0.751, 0.500], [0.252, 0.247, 0.995], [0.748, 0.753, 0.005], [0.750, 0.249, 0.500], [0.751, 0.250, 0.000], [0.753, 0.748, 0.505], [0.000, 0.500, 0.500], [0.500, 0.000, 0.000], [0.500, 0.500, 0.000], [0.500, 0.500, 0.500], [0.000, 0.000, 0.000], [0.000, 0.000, 0.500]]
}